1.
Material: CeAg
Method: DFT, PBEsol
State: relaxed

POSCAR file:
```
CeAg
1.0
3.636 0.000 0.000
0.000 3.636 0.000
0.000 0.000 3.636
Ce Ag
1 1
direct
0.000 0.000 0.000 Ce
0.500 0.500 0.500 Ag
```

Calculated values
Formation energy from the elements in kJ/mol of formula units: 9
SG: No. 221

2.
Material: Cs2CeAgCl6
Method: DFT, PBEsol
State: relaxed

POSCAR file:
```
Cs2CeAgCl6
1.0
-7.169 -2.422 -0.796
-1.501 -6.093 -4.303
-2.199 -6.513 3.262
Cl Cs Ce Ag
6 2 1 1
direct
0.752 0.248 0.752 Cl
0.752 0.752 0.248 Cl
0.248 0.752 0.248 Cl
0.248 0.248 0.752 Cl
0.248 0.752 0.752 Cl
0.752 0.248 0.248 Cl
0.750 0.750 0.750 Cs
0.250 0.250 0.250 Cs
0.500 0.500 0.500 Ce
0.000 0.000 0.000 Ag
```

Calculated values
SG: No. 225

3.
Material: Rb2CeAgCl6
Method: DFT, PBEsol
State: relaxed

POSCAR file:
```
Rb2CeAgCl6
1.0
7.566 0.000 0.000
3.783 6.552 0.000
3.783 2.184 6.177
Cl Ag Ce Rb
6 1 1 2
direct
0.752 0.752 0.248 Cl
0.752 0.248 0.752 Cl
0.248 0.752 0.248 Cl
0.248 0.752 0.752 Cl
0.248 0.248 0.752 Cl
0.752 0.248 0.248 Cl
0.000 0.000 0.000 Ag
0.500 0.500 0.500 Ce
0.750 0.750 0.750 Rb
0.250 0.250 0.250 Rb
```

Calculated values
SG: No. 225

4.
Material: Ce3Ag4Ge4
Method: DFT, PBEsol
State: relaxed

POSCAR file:
```
Ce3Ag4Ge4
1.0
4.400 0.000 0.000
0.000 7.023 0.000
-2.200 -3.512 7.209
Ag Ge Ce
4 4 3
direct
0.331 0.526 0.662 Ag
0.669 0.864 0.338 Ag
0.331 0.136 0.662 Ag
0.669 0.474 0.338 Ag
0.783 0.283 0.567 Ge
0.500 0.816 0.000 Ge
0.500 0.184 0.000 Ge
0.217 0.717 0.433 Ge
0.000 0.500 0.000 Ce
0.126 0.126 0.252 Ce
0.874 0.874 0.748 Ce
```

Calculated values
Formation energy from the elements in kJ/mol of formula units: -506
SG: No. 71

5.
Material: Ce3AgGeS7
Method: DFT, PBEsol
State: relaxed

POSCAR file:
```
Ce3AgGeS7
1.0
-5.057 2.714 -0.215
-2.682 -5.626 -7.943
-2.092 -3.157 9.360
Ag Ce S Ge
2 6 14 2
direct
0.175 0.000 0.000 Ag
0.675 0.000 0.000 Ag
0.247 0.640 0.871 Ce
0.247 0.231 0.360 Ce
0.247 0.129 0.769 Ce
0.747 0.871 0.231 Ce
0.747 0.769 0.640 Ce
0.747 0.360 0.129 Ce
0.730 0.173 0.271 S
0.230 0.902 0.173 S
0.484 0.899 0.481 S
0.944 0.667 0.333 S
0.730 0.098 0.827 S
0.984 0.481 0.582 S
0.984 0.418 0.899 S
0.484 0.519 0.418 S
0.984 0.101 0.519 S
0.230 0.827 0.729 S
0.230 0.271 0.098 S
0.730 0.729 0.902 S
0.484 0.582 0.101 S
0.444 0.333 0.667 S
0.828 0.333 0.667 Ge
0.328 0.667 0.333 Ge
```

Calculated values
SG: No. 173

6.
Material: Ce2AgHg
Method: DFT, PBEsol
State: relaxed

POSCAR file:
```
Ce2AgHg
1.0
5.219 0.000 0.000
2.609 4.519 0.000
2.609 1.506 4.261
Ag Ce Hg
1 2 1
direct
0.000 0.000 0.000 Ag
0.250 0.250 0.250 Ce
0.750 0.750 0.750 Ce
0.500 0.500 0.500 Hg
```

Calculated values
Formation energy from the elements in kJ/mol of formula units: -42
SG: No. 225

7.
Material: CeAgHg2
Method: DFT, PBEsol
State: relaxed

POSCAR file:
```
CeAgHg2
1.0
4.997 0.000 0.000
2.499 4.328 0.000
2.499 1.443 4.080
Ag Hg Ce
1 2 1
direct
0.500 0.500 0.500 Ag
0.250 0.250 0.250 Hg
0.750 0.750 0.750 Hg
0.000 0.000 0.000 Ce
```

Calculated values
Formation energy from the elements in kJ/mol of formula units: -119
SG: No. 225

8.
Material: K2CeAgI6
Method: DFT, PBEsol
State: relaxed

POSCAR file:
```
K2CeAgI6
1.0
8.472 0.000 0.000
4.236 7.337 0.000
4.236 2.446 6.917
I K Ce Ag
6 2 1 1
direct
0.244 0.244 0.756 I
0.244 0.756 0.756 I
0.756 0.756 0.244 I
0.756 0.244 0.244 I
0.756 0.244 0.756 I
0.244 0.756 0.244 I
0.750 0.750 0.750 K
0.250 0.250 0.250 K
0.500 0.500 0.500 Ce
0.000 0.000 0.000 Ag
```

Calculated values
SG: No. 225

| no. | D(E_F) (states/eV per atom) | final energy (eV/cell) | size of the total moment (μB per formula unit) |
| --- | --- | --- | --- |
| 1 | 3.348 | -9.82 | 1.00 |
| 2 | 0.872 | -41.45 | 1.00 |
| 3 | 0.458 | -41.09 | 1.00 |
| 4 | 1.625 | -58.03 | 1.90 |
| 5 | 1.796 | -150.51 | 3.03 |
| 6 | 3.672 | -17.51 | 2.24 |
| 7 | 1.400 | -12.27 | 0.65 |
| 8 | 0.630 | -33.27 | 1.00 |